[1]
Material: CsP2SF
Method: DFT, GGA-PBE
State: optimized geometry

Calculated values
**Calculated total energy**: -15.18 eV/cell
**Size of the total moment**: 1.0 μB per cell

Cell: 4.516 4.516 5.938 Å, 90.00 90.00 90.00°
Space group P4/mmm (No. 123)
Unique sites:
Cs1 0.000 0.000 0.000 [1 per cell]
P1 0.000 0.500 0.500 [2 per cell]
S1 0.500 0.500 0.000 [1 per cell]
F1 0.500 0.500 0.500 [1 per cell]

***

[2]
Material: Cs2PS2F4
Method: DFT, GGA-PBE
State: optimized geometry

Calculated values
**Calculated total energy**: -78.49 eV/cell
**Size of the total moment**: 2.0 μB per cell

Cell: 11.454 6.778 5.733 Å, 90.00 90.66 90.00°
Space group C2/m (No. 12)
Unique sites:
Cs1 0.168 0.000 0.235 [4 per cell]
P1 0.000 0.500 0.500 [2 per cell]
S1 0.091 0.500 0.171 [4 per cell]
F1 0.093 0.320 0.603 [8 per cell]

***

[3]
Material: Cs2PSeF6
Method: DFT, GGA-PBE
State: optimized geometry

Calculated values
**Calculated total energy**: -88.70 eV/cell
**Size of the total moment**: 2.0 μB per cell

Cell: 6.965 6.965 9.833 Å, 90.00 90.00 90.00°
Space group I4/mmm (No. 139)
Unique sites:
Cs1 0.000 0.500 0.250 [4 per cell]
P1 0.000 0.000 0.000 [2 per cell]
Se1 0.000 0.000 0.500 [2 per cell]
F1 0.000 0.000 0.167 [4 per cell]
F2 0.167 0.167 0.000 [8 per cell]

***

[4]
Material: Cs2SnPF6
Method: DFT, GGA-PBE
State: optimized geometry

Calculated values
**Calculated total energy**: -88.35 eV/cell
**Size of the total moment**: 2.0 μB per cell

Cell: 6.224 6.224 11.395 Å, 90.00 90.00 90.00°
Space group I4/mmm (No. 139)
Unique sites:
Cs1 0.000 0.500 0.250 [4 per cell]
Sn1 0.000 0.000 0.000 [2 per cell]
P1 0.000 0.000 0.500 [2 per cell]
F1 0.000 0.000 0.201 [4 per cell]
F2 0.222 0.222 0.500 [8 per cell]

***

[5]
Material: Cs2TaPF6
Method: DFT, GGA-PBE
State: optimized geometry

Calculated values
**Calculated total energy**: -107.96 eV/cell
**Size of the total moment**: 4.0 μB per cell

Cell: 7.109 7.109 10.797 Å, 90.00 90.00 90.00°
Space group I4/mmm (No. 139)
Unique sites:
Cs1 0.000 0.500 0.250 [4 per cell]
Ta1 0.000 0.000 0.000 [2 per cell]
P1 0.000 0.000 0.500 [2 per cell]
F1 0.000 0.000 0.179 [4 per cell]
F2 0.192 0.192 0.000 [8 per cell]

***

[6]
Material: Cs2TlPF6
Method: DFT, GGA-PBE
State: optimized geometry

Calculated values
**Calculated total energy**: -173.26 eV/cell
**Size of the total moment**: 0.0 μB per cell

Cell: 9.425 9.425 9.425 Å, 90.00 90.00 90.00°
Space group Fm-3m (No. 225)
Unique sites:
Cs1 0.250 0.250 0.250 [8 per cell]
Tl1 0.000 0.000 0.000 [4 per cell]
P1 0.000 0.000 0.500 [4 per cell]
F1 0.000 0.000 0.288 [24 per cell]